Crystalline RbIN4 at its relaxed geometry. Source: Alexandria, functional GGA-PBE.

Lattice parameters (Å, degrees): 6.0625 7.1644 9.2929 83.81 86.41 88.88
Space group P-1 (No. 2)
Symmetry-distinct sites (fractional):
Rb1 0.2493 0.2325 0.1481 (multiplicity 2)
I1 0.0539 0.7269 0.2044 (multiplicity 2)
N1 0.0169 0.7409 0.5492 (multiplicity 2)
N2 0.2788 0.9808 0.8760 (multiplicity 2)
N3 0.3188 0.5102 0.8490 (multiplicity 2)
N4 0.4671 0.2361 0.5716 (multiplicity 2)

Calculated values
Total magnetic moment (μB per atom): 2.000
Formation energy (no corrections) (eV/atom): 2.9530
VASP energy (eV per cell): -36.2

***

Crystalline Rb2I7N at its relaxed geometry. Source: Alexandria, functional GGA-PBE.

Lattice parameters (Å, degrees): 8.2561 8.2561 11.4228 90.00 90.00 90.00
Space group I4/mmm (No. 139)
Symmetry-distinct sites (fractional):
Rb1 0.0000 0.5000 0.2500 (multiplicity 4)
I1 0.0000 0.0000 0.0000 (multiplicity 2)
I2 0.0000 0.0000 0.2739 (multiplicity 4)
I3 0.2258 0.2258 0.5000 (multiplicity 8)
N1 0.0000 0.0000 0.5000 (multiplicity 2)

Calculated values
Total magnetic moment (μB per atom): 0.000
Formation energy (no corrections) (eV/atom): -0.1403
VASP energy (eV per cell): -45.0

***

Crystalline Rb7IN12 at its relaxed geometry. Source: Alexandria, functional GGA-PBE.

Lattice parameters (Å, degrees): 15.1096 15.1096 7.2042 90.00 90.00 120.00
Space group R-3 (No. 148, hexagonal axes)
Symmetry-distinct sites (fractional):
Rb1 0.0000 0.0000 0.0000 (multiplicity 3)
Rb2 0.0612 0.2572 0.6524 (multiplicity 18)
I1 0.0000 0.0000 0.5000 (multiplicity 3)
N1 0.0421 0.2495 0.2330 (multiplicity 18)
N2 0.0464 0.2392 0.0705 (multiplicity 18)

Calculated values
Total magnetic moment (μB per atom): 0.303
Formation energy (no corrections) (eV/atom): -0.2013
VASP energy (eV per cell): -336.8